[1]
DFT (PBE-GGA) results for a relaxed structure of HfTi2BeH.

Calculated values
The calculated volume comes out at 67.4 Å³ per cell.

```
5
Lattice="4.006 0.000 0.000 0.000 4.006 0.000 0.000 0.000 4.201" Properties=species:S:1:pos:R:3 pbc="T T T"
Ti 2.003 0.000 0.000
Ti 0.000 2.003 0.000
H 0.000 0.000 0.000
Hf 0.000 0.000 2.101
Be 2.003 2.003 2.101
```

***

[2]
DFT (PBE-GGA) results for a relaxed structure of HfBeH2W.

Calculated values
The calculated volume comes out at 70.0 Å³ per cell.

```
5
Lattice="-1.399 2.932 -1.648 -3.017 -3.123 -2.995 -2.641 0.148 2.506" Properties=species:S:1:pos:R:3 pbc="T T T"
H -1.320 0.074 1.253
H -0.700 1.466 -0.824
W -3.528 -0.021 -1.069
Be 0.000 0.000 0.000
Hf -1.509 -1.561 -1.498
```

***

[3]
DFT (PBE-GGA) results for a relaxed structure of Hf2BeZnH.

Calculated values
The calculated volume comes out at 68.3 Å³ per cell.

```
5
Lattice="-1.880 0.564 -3.905 2.893 -2.743 -1.789 -2.194 -2.743 0.660" Properties=species:S:1:pos:R:3 pbc="T T T"
Be -1.097 -1.372 0.330
Hf 1.446 -1.372 -0.895
Hf -0.940 0.282 -1.952
Zn -0.590 -2.461 -2.517
H 0.000 0.000 0.000
```

***

| no. | total energy (eV per atom) |
| --- | --- |
| 1 | -6.678 |
| 2 | -5.188 |
| 3 | -5.747 |